Rb3SmMo2O8 after structural relaxation, computed with PBE with a Hubbard U.

Summary:
- E_tot: -6.370 eV per atom
- Total magnetic moment: 2.00 μB per formula unit

POSCAR file:
```
Rb3SmMo2O8
1.0
6.288 0.000 0.000
-3.144 5.445 0.000
0.000 0.000 8.081
Rb Sm Mo O
3 1 2 8
Cartesian
0.000 3.630 5.481
3.144 1.815 2.600
0.000 0.000 0.000
0.000 0.000 4.040
0.000 3.630 1.918
3.144 1.815 6.163
0.000 3.630 0.119
3.144 1.815 7.962
-1.509 4.502 2.657
4.653 0.944 5.424
0.000 1.888 2.657
3.144 3.558 5.424
1.509 4.502 2.657
1.635 0.944 5.424
```